Record 1
The following is a PBE-GGA calculation of a relaxed TiZn2Ag2 crystal, from the Alexandria database.

Total magnetization: 0.00 μB per cell
Energy above the lowest structure with this stoichiometry: 0 meV/atom

abc: 7.637 7.637 2.839
angles: 90.00 90.00 90.00
Space group P4/mbm (No. 127)
Asymmetric unit:
Ti (0.000, 0.000, 0.000) x2
Zn (0.123, 0.377, 0.000) x4
Ag (0.175, 0.675, 0.500) x4

=====

Record 2
The following is a PBE-GGA calculation of a relaxed TiZn3Ag crystal, from the Alexandria database.

Total magnetization: 1.04 μB per cell
Energy above the lowest structure with this stoichiometry: 54 meV/atom

abc: 4.766 5.049 7.411
angles: 109.91 90.06 90.00
Space group P-1 (No. 2)
Asymmetric unit:
Ti (0.249, 0.308, 0.114) x2
Zn (0.000, 0.500, 0.500) x1
Zn (0.250, 0.389, 0.781) x2
Zn (0.250, 0.891, 0.782) x2
Zn (0.500, 0.500, 0.500) x1
Ag (0.250, 0.915, 0.328) x2

=====

Record 3
The following is a PBE-GGA calculation of a relaxed Ti2ZnAg crystal, from the Alexandria database.

Total magnetization: 0.00 μB per cell
DFT total energy: -20.323 eV for the cell shown

abc: 2.923 2.923 7.785
angles: 90.00 90.00 90.00
Space group P4mm (No. 99)
Asymmetric unit:
Ti (0.000, 0.000, 0.000) x1
Ti (0.500, 0.500, 0.246) x1
Zn (0.000, 0.000, 0.495) x1
Ag (0.500, 0.500, 0.731) x1

=====

Record 4
The following is a PBE-GGA calculation of a relaxed Ti2ZnAg crystal, from the Alexandria database.

Total magnetization: 0.00 μB per cell
DFT total energy: -74.331 eV for the cell shown

abc: 7.432 7.432 5.071
angles: 90.00 90.00 90.00
Space group I-42d (No. 122)
Asymmetric unit:
Ti (0.243, 0.250, 0.125) x8
Zn (0.000, 0.000, 0.000) x4
Ag (0.000, 0.000, 0.500) x4

=====

Record 5
The following is a PBE-GGA calculation of a relaxed Ti2ZnAg crystal, from the Alexandria database.

Total magnetization: 1.67 μB per cell
DFT total energy: -20.043 eV for the cell shown

abc: 4.038 4.038 4.055
angles: 90.00 90.00 90.00
Space group P4/mmm (No. 123)
Asymmetric unit:
Ti (0.000, 0.500, 0.000) x2
Zn (0.000, 0.000, 0.500) x1
Ag (0.500, 0.500, 0.500) x1

=====

Record 6
The following is a PBE-GGA calculation of a relaxed Ti2Zn4Ag crystal, from the Alexandria database.

Total magnetization: 9.83 μB per cell
DFT total energy: -91.755 eV for the cell shown

abc: 9.019 5.258 9.768
angles: 90.00 90.00 90.00
Space group Cmce (No. 64)
Asymmetric unit:
Ti (0.173, 0.000, 0.000) x8
Zn (0.000, 0.015, 0.231) x8
Zn (0.250, 0.243, 0.750) x8
Ag (0.000, 0.000, 0.500) x4

=====

Record 7
The following is a PBE-GGA calculation of a relaxed Ti2Zn6Ag crystal, from the Alexandria database.

Total magnetization: 3.73 μB per cell
Energy above the lowest structure with this stoichiometry: 97 meV/atom

abc: 4.343 5.476 12.851
angles: 90.00 90.00 90.00
Space group Immm (No. 71)
Asymmetric unit:
Ti (0.000, 0.000, 0.104) x4
Zn (0.000, 0.247, 0.300) x8
Zn (0.000, 0.268, 0.500) x4
Ag (0.000, 0.500, 0.000) x2

=====

Record 8
The following is a PBE-GGA calculation of a relaxed TiZn3Ag crystal, from the Alexandria database.

Total magnetization: 0.00 μB per cell
Energy above the lowest structure with this stoichiometry: 653 meV/atom

abc: 4.707 4.707 4.707
angles: 90.00 90.00 90.00
Space group Pm-3m (No. 221)
Asymmetric unit:
Ti (0.000, 0.000, 0.000) x1
Zn (0.000, 0.500, 0.500) x3
Ag (0.500, 0.500, 0.500) x1

=====

Record 9
The following is a PBE-GGA calculation of a relaxed TiZn3Ag crystal, from the Alexandria database.

Total magnetization: 1.75 μB per cell
Energy above the lowest structure with this stoichiometry: 0 meV/atom

abc: 4.480 5.860 6.544
angles: 90.00 109.86 90.00
Space group P2_1/m (No. 11)
Asymmetric unit:
Ti (0.111, 0.250, 0.223) x2
Zn (0.314, 0.504, 0.627) x4
Zn (0.493, 0.250, 0.986) x2
Ag (0.125, 0.750, 0.252) x2

=====

Record 10
The following is a PBE-GGA calculation of a relaxed TiZn5Ag4 crystal, from the Alexandria database.

Total magnetization: 0.95 μB per cell
DFT total energy: -26.325 eV for the cell shown

abc: 2.883 2.883 19.405
angles: 90.00 90.00 90.00
Space group P4/mmm (No. 123)
Asymmetric unit:
Ti (0.000, 0.000, 0.000) x1
Zn (0.500, 0.500, 0.098) x2
Zn (0.500, 0.500, 0.298) x2
Zn (0.500, 0.500, 0.500) x1
Ag (0.000, 0.000, 0.198) x2
Ag (0.000, 0.000, 0.399) x2

=====

Record 11
The following is a PBE-GGA calculation of a relaxed TiZn3Ag2 crystal, from the Alexandria database.

Total magnetization: 0.00 μB per cell
DFT total energy: -17.971 eV for the cell shown

abc: 2.881 2.881 11.572
angles: 90.00 90.00 90.00
Space group P4/mmm (No. 123)
Asymmetric unit:
Ti (0.000, 0.000, 0.000) x1
Zn (0.500, 0.500, 0.164) x2
Zn (0.500, 0.500, 0.500) x1
Ag (0.000, 0.000, 0.333) x2

=====

Record 12
The following is a PBE-GGA calculation of a relaxed Ti2ZnAg2 crystal, from the Alexandria database.

Total magnetization: 0.00 μB per cell
Energy above the lowest structure with this stoichiometry: 109 meV/atom

abc: 7.908 7.908 2.906
angles: 90.00 90.00 90.00
Space group P4/mbm (No. 127)
Asymmetric unit:
Ti (0.168, 0.332, 0.000) x4
Zn (0.000, 0.000, 0.000) x2
Ag (0.129, 0.629, 0.500) x4

=====

Record 13
The following is a PBE-GGA calculation of a relaxed Ti2ZnAg2 crystal, from the Alexandria database.

Total magnetization: 3.27 μB per cell
Energy above the lowest structure with this stoichiometry: 0 meV/atom

abc: 7.494 7.494 3.167
angles: 90.00 90.00 90.00
Space group P4/mbm (No. 127)
Asymmetric unit:
Ti (0.168, 0.332, 0.000) x4
Zn (0.000, 0.000, 0.500) x2
Ag (0.131, 0.631, 0.500) x4

=====

Record 14
The following is a PBE-GGA calculation of a relaxed Ti2ZnAg crystal, from the Alexandria database.

Total magnetization: 0.00 μB per cell
DFT total energy: -57.237 eV for the cell shown

abc: 2.7833 2.7833 30.8340
angles: 90.00 90.00 120.00
Space group R-3m (No. 166, hexagonal axes)
Asymmetric unit:
Ti (0.0000, 0.0000, 0.0904) x6
Zn (0.0000, 0.0000, 0.5000) x3
Ag (0.0000, 0.0000, 0.0000) x3

=====

Record 15
The following is a PBE-GGA calculation of a relaxed Ti2ZnAg crystal, from the Alexandria database.

Total magnetization: 0.00 μB per cell
DFT total energy: -39.262 eV for the cell shown

abc: 4.901 2.833 9.726
angles: 90.00 99.56 90.00
Space group Cm (No. 8)
Asymmetric unit:
Ti (0.000, 0.000, 0.000) x2
Ti (0.172, 0.000, 0.515) x2
Zn (0.086, 0.500, 0.757) x2
Ag (0.420, 0.000, 0.257) x2

=====

Record 16
The following is a PBE-GGA calculation of a relaxed Ti2Zn2Ag crystal, from the Alexandria database.

Total magnetization: 0.05 μB per cell
Energy above the lowest structure with this stoichiometry: 185 meV/atom

abc: 7.959 7.959 2.692
angles: 90.00 90.00 90.00
Space group P4/mbm (No. 127)
Asymmetric unit:
Ti (0.122, 0.378, 0.000) x4
Zn (0.173, 0.673, 0.500) x4
Ag (0.000, 0.000, 0.000) x2

=====

Record 17
The following is a PBE-GGA calculation of a relaxed Ti2Zn8Ag crystal, from the Alexandria database.

Total magnetization: 0.00 μB per cell
DFT total energy: -59.336 eV for the cell shown

abc: 14.464 3.999 6.039
angles: 90.00 104.19 90.00
Space group C2/m (No. 12)
Asymmetric unit:
Ti (0.225, 0.000, 0.140) x4
Zn (0.040, 0.000, 0.215) x4
Zn (0.095, 0.500, 0.955) x4
Zn (0.141, 0.000, 0.672) x4
Zn (0.176, 0.500, 0.398) x4
Ag (0.000, 0.500, 0.500) x2

=====

Record 18
The following is a PBE-GGA calculation of a relaxed TiZn2Ag2 crystal, from the Alexandria database.

Total magnetization: 1.88 μB per cell
Energy above the lowest structure with this stoichiometry: 112 meV/atom

abc: 3.628 3.628 13.375
angles: 90.00 90.00 90.00
Space group I4/mmm (No. 139)
Asymmetric unit:
Ti (0.000, 0.000, 0.000) x2
Zn (0.000, 0.500, 0.250) x4
Ag (0.000, 0.000, 0.399) x4

=====

Record 19
The following is a PBE-GGA calculation of a relaxed Ti2ZnAg crystal, from the Alexandria database.

Total magnetization: 1.49 μB per cell
DFT total energy: -20.084 eV for the cell shown

abc: 2.879 2.879 7.949
angles: 90.00 90.00 90.00
Space group P4/mmm (No. 123)
Asymmetric unit:
Ti (0.000, 0.000, 0.237) x2
Zn (0.500, 0.500, 0.000) x1
Ag (0.500, 0.500, 0.500) x1

=====

Record 20
The following is a PBE-GGA calculation of a relaxed Ti2Zn2Ag crystal, from the Alexandria database.

Total magnetization: 0.00 μB per cell
Energy above the lowest structure with this stoichiometry: 0 meV/atom

abc: 6.822 6.822 3.508
angles: 90.00 90.00 90.00
Space group P4/mbm (No. 127)
Asymmetric unit:
Ti (0.164, 0.336, 0.000) x4
Zn (0.133, 0.633, 0.500) x4
Ag (0.000, 0.000, 0.500) x2

=====

Record 21
The following is a PBE-GGA calculation of a relaxed Ti5Zn6Ag crystal, from the Alexandria database.

Total magnetization: 0.00 μB per cell
DFT total energy: -102.890 eV for the cell shown

abc: 4.400 6.422 13.308
angles: 90.00 90.00 90.00
Space group Immm (No. 71)
Asymmetric unit:
Ti (0.000, 0.000, 0.000) x2
Ti (0.000, 0.000, 0.331) x4
Ti (0.000, 0.500, 0.333) x4
Zn (0.000, 0.248, 0.500) x4
Zn (0.000, 0.254, 0.165) x8
Ag (0.000, 0.500, 0.000) x2

=====

Record 22
The following is a PBE-GGA calculation of a relaxed Ti2Zn6Ag crystal, from the Alexandria database.

Total magnetization: 0.00 μB per cell
Energy above the lowest structure with this stoichiometry: 0 meV/atom

abc: 6.608 10.746 4.016
angles: 90.00 90.00 90.00
Space group Cmmm (No. 65)
Asymmetric unit:
Ti (0.000, 0.216, 0.000) x4
Zn (0.187, 0.355, 0.500) x8
Zn (0.209, 0.500, 0.000) x4
Ag (0.000, 0.000, 0.500) x2

=====

Record 23
The following is a PBE-GGA calculation of a relaxed ZrTiAg2 crystal, from the Alexandria database.

Total magnetization: 0.00 μB per cell
Energy above the lowest structure with this stoichiometry: 0 meV/atom

abc: 4.303 4.262 8.356
angles: 90.00 90.00 90.00
Space group Pmma (No. 51)
Asymmetric unit:
Zr (0.250, 0.000, 0.128) x2
Ti (0.250, 0.500, 0.883) x2
Ag (0.250, 0.000, 0.621) x2
Ag (0.250, 0.500, 0.381) x2

=====

Record 24
The following is a PBE-GGA calculation of a relaxed ZrTiAg crystal, from the Alexandria database.

Total magnetization: 2.04 μB per cell
Energy above the lowest structure with this stoichiometry: 269 meV/atom

abc: 4.9147 4.9147 2.8220
angles: 90.00 90.00 120.00
Space group P-6m2 (No. 187)
Asymmetric unit:
Zr (0.0000, 0.0000, 0.0000) x1
Ti (0.3333, 0.6667, 0.5000) x1
Ag (0.6667, 0.3333, 0.5000) x1

=====

Record 25
The following is a PBE-GGA calculation of a relaxed ZrTiAg2 crystal, from the Alexandria database.

Total magnetization: 0.00 μB per cell
Energy above the lowest structure with this stoichiometry: 420 meV/atom

abc: 7.677 7.677 5.411
angles: 90.00 90.00 90.00
Space group I-42d (No. 122)
Asymmetric unit:
Zr (0.000, 0.000, 0.000) x4
Ti (0.000, 0.000, 0.500) x4
Ag (0.228, 0.250, 0.625) x8

=====

Short version: Fermi-level density of states = 3.03; 3.48; 1.70; 4.30; 3.67; 4.73; 7.20; 4.67; 3.66; 4.61; 3.14; 4.90; 4.00; 3.41; 5.40; 4.08; 4.99; 3.87; 3.87; 3.63; 10.24; 6.56; 2.17; 4.17; 4.55 states/eV/f.u., in the order given.